# AgMoF2 GGA+U optimized geometry
# Energy above the most stable polymorph in this dataset = 0 meV per atom
data_AgMoF2
_chemical_formula_sum 'Ag4 Mo4 F8'
_symmetry_space_group_name_H-M 'P 1'
_symmetry_Int_Tables_number 1
_symmetry_space_group_name_Hall 'P 1'
_cell_length_a 7.078
_cell_length_b 7.078
_cell_length_c 5.909
_cell_angle_alpha 90.00
_cell_angle_beta 90.00
_cell_angle_gamma 90.00
loop_
_atom_site_label
_atom_site_type_symbol
_atom_site_fract_x
_atom_site_fract_y
_atom_site_fract_z
Ag1 Ag 0.000 0.000 0.000
Ag2 Ag 0.000 0.500 0.250
Ag3 Ag 0.500 0.000 0.750
Ag4 Ag 0.500 0.500 0.500
Mo1 Mo 0.000 0.000 0.500
Mo2 Mo 0.000 0.500 0.750
Mo3 Mo 0.500 0.000 0.250
Mo4 Mo 0.500 0.500 0.000
F1 F 0.151 0.250 0.625
F2 F 0.250 0.651 0.875
F3 F 0.250 0.849 0.375
F4 F 0.349 0.250 0.125
F5 F 0.651 0.750 0.125
F6 F 0.750 0.151 0.375
F7 F 0.750 0.349 0.875
F8 F 0.849 0.750 0.625